## Er2ThHg8 (PBE)

Data for an optimized crystal structure of Er2ThHg8.

Energy relative to the elements in meV per atom: -236
Space-group type: No. 71
DOS at the Fermi energy in states/eV/f.u.: 5.92

Cell lengths 5.1029, 7.6317, 8.4954 Å; angles 116.69, 107.48, 90.00 degrees
Closest atoms and distances in Å follow each position.
Element x y z (fractional)
1 Er 0.1961 0.6961 0.3921  10 Hg 3.06-3.32
2 Th 0.5000 0.0000 0.0000  12 Hg 3.11-3.42
3 Hg 0.0000 0.2977 0.0000  7 Hg 3.09-3.33, 2 Er 3.20, 2 Th 3.42
4 Hg 0.0000 0.7023 0.0000  7 Hg 3.09-3.33, 2 Er 3.20, 2 Th 3.42
5 Er 0.8039 0.3039 0.6079  10 Hg 3.06-3.32
6 Hg 0.3498 0.5550 0.6997  3 Er 3.06-3.15, 1 Th 3.11, 6 Hg 3.13-3.40
7 Hg 0.3498 0.1446 0.6996  3 Er 3.06-3.15, 1 Th 3.11, 6 Hg 3.13-3.40
8 Hg 0.8442 0.8441 0.6884  8 Hg 3.18-3.40, 2 Er 3.32, 2 Th 3.39
9 Hg 0.1558 0.1559 0.3116  8 Hg 3.18-3.40, 2 Er 3.32, 2 Th 3.39
10 Hg 0.6502 0.4450 0.3003  3 Er 3.06-3.15, 1 Th 3.11, 6 Hg 3.13-3.40
11 Hg 0.6502 0.8554 0.3004  3 Er 3.06-3.15, 1 Th 3.11, 6 Hg 3.13-3.40

## ErThHg (PBE)

Data for an optimized crystal structure of ErThHg.

Energy relative to the elements in meV per atom: -220
Space-group type: No. 63
DOS at the Fermi energy in states/eV/f.u.: 3.05
Distance to the lowest polymorph of the same formula in eV/f.u.: 0.020

Cell lengths 3.5456, 5.4452, 8.9591 Å; angles 90.00, 101.41, 90.00 degrees
Closest atoms and distances in Å follow each position.
Element x y z (fractional)
1 Hg 0.4375 0.2500 0.8749  6 Er 3.16-3.28, 2 Th 3.38, 2 Hg 3.50
2 Hg 0.5625 0.7500 0.1251  6 Er 3.16-3.28, 2 Th 3.38, 2 Hg 3.50
3 Th 0.2261 0.7500 0.4522  6 Th 3.36-3.55, 2 Hg 3.38, 4 Er 3.67-3.74
4 Er 0.9138 0.7500 0.8275  6 Hg 3.16-3.28
5 Er 0.0862 0.2500 0.1725  6 Hg 3.16-3.28
6 Th 0.7739 0.2500 0.5478  6 Th 3.36-3.55, 2 Hg 3.38, 4 Er 3.67-3.74

## ErThHg (PBE)

Data for an optimized crystal structure of ErThHg.

Energy relative to the elements in meV per atom: -50
Space-group type: No. 156
DOS at the Fermi energy in states/eV/f.u.: 2.35
Distance to the lowest polymorph of the same formula in eV/f.u.: 0.530

Cell lengths 3.6985, 5.2112, 5.2112 Å; angles 120.00, 90.00, 90.00 degrees
Closest atoms and distances in Å follow each position.
Element x y z (fractional)
1 Th 0.9989 0.0000 0.0000  6 Hg 3.52-3.54, 6 Er 3.53-3.54, 2 Th 3.70
2 Er 0.4970 0.3333 0.6667  3 Hg 3.01
3 Hg 0.5042 0.6667 0.3333  3 Er 3.01

## ErTh2Hg6 (PBE)

Data for an optimized crystal structure of ErTh2Hg6.

Energy relative to the elements in meV per atom: -291
Space-group type: No. 191
DOS at the Fermi energy in states/eV/f.u.: 3.81

Cell lengths 3.3947, 8.7443, 8.7443 Å; angles 120.00, 90.00, 90.00 degrees
Closest atoms and distances in Å follow each position.
Element x y z (fractional)
1 Th 0.0000 0.3333 0.6667  12 Hg 3.39, 2 Th 3.39
2 Hg 0.5000 0.6707 0.6707  3 Hg 2.88-2.99
3 Th 0.0000 0.6667 0.3333  12 Hg 3.39, 2 Th 3.39
4 Hg 0.5000 0.3293 0.0000  3 Hg 2.88-2.99
5 Hg 0.5000 0.0000 0.6707  3 Hg 2.88-2.99
6 Hg 0.5000 0.0000 0.3293  3 Hg 2.88-2.99
7 Hg 0.5000 0.3293 0.3293  3 Hg 2.88-2.99
8 Hg 0.5000 0.6707 0.0000  3 Hg 2.88-2.99
9 Er 0.0000 0.0000 0.0000  12 Hg 3.34, 2 Er 3.39

## Er5Th3Hg12 (PBE)

Data for an optimized crystal structure of Er5Th3Hg12.

Energy relative to the elements in meV per atom: 101
Space-group type: No. 230
DOS at the Fermi energy in states/eV/f.u.: 18.84

Cell lengths 15.0769, 15.0769, 15.0769 Å; angles 109.47, 109.47, 109.47 degrees
Closest atoms and distances in Å follow each position.
Element x y z (fractional)
1 Er 0.5000 0.5000 0.5000  6 Hg 2.94
2 Hg 0.4366 0.7750 0.8581  2 Er 2.93-2.94, 2 Th 3.12-3.17, 1 Hg 3.21
3 Er 0.0000 0.0000 0.0000  6 Hg 2.94
4 Hg 0.9169 0.8384 0.7750  2 Er 2.93-2.94, 2 Th 3.12-3.17, 1 Hg 3.21
5 Er 0.5000 0.0000 0.5000  6 Hg 2.94
6 Hg 0.8581 0.2750 0.4366  2 Er 2.93-2.94, 2 Th 3.12-3.17, 1 Hg 3.21
7 Er 0.3750 0.1250 0.7500  4 Hg 2.93
8 Hg 0.3384 0.5634 0.4215  2 Er 2.93-2.94, 2 Th 3.12-3.17, 1 Hg 3.21
9 Er 0.3750 0.2500 0.1250  4 Hg 2.93
10 Hg 0.4169 0.1419 0.5785  2 Er 2.93-2.94, 2 Th 3.12-3.17, 1 Hg 3.21
11 Hg 0.1419 0.7250 0.5634  2 Er 2.93-2.94, 2 Th 3.12-3.17, 1 Hg 3.21
12 Er 0.5000 0.5000 0.0000  6 Hg 2.94
13 Er 0.6250 0.8750 0.2500  4 Hg 2.93
14 Hg 0.5634 0.3384 0.9215  2 Er 2.93-2.94, 2 Th 3.12-3.17, 1 Hg 3.21
15 Th 0.7500 0.8750 0.6250  8 Hg 3.12-3.17
16 Th 0.8750 0.7500 0.1250  8 Hg 3.12-3.17
17 Hg 0.9215 0.8384 0.5634  2 Er 2.93-2.94, 2 Th 3.12-3.17, 1 Hg 3.21
18 Th 0.2500 0.1250 0.3750  8 Hg 3.12-3.17
19 Hg 0.9366 0.5785 0.1616  2 Er 2.93-2.94, 2 Th 3.12-3.17, 1 Hg 3.21
20 Hg 0.2250 0.5634 0.6419  2 Er 2.93-2.94, 2 Th 3.12-3.17, 1 Hg 3.21
21 Hg 0.1616 0.0831 0.7250  2 Er 2.93-2.94, 2 Th 3.12-3.17, 1 Hg 3.21
22 Th 0.7500 0.3750 0.1250  8 Hg 3.12-3.17
23 Hg 0.6419 0.0634 0.2250  2 Er 2.93-2.94, 2 Th 3.12-3.17, 1 Hg 3.21
24 Th 0.6250 0.2500 0.3750  8 Hg 3.12-3.17
25 Hg 0.9169 0.0785 0.6419  2 Er 2.93-2.94, 2 Th 3.12-3.17, 1 Hg 3.21
26 Er 0.0000 0.0000 0.5000  6 Hg 2.94
27 Th 0.3750 0.6250 0.2500  8 Hg 3.12-3.17
28 Hg 0.3581 0.9366 0.7750  2 Er 2.93-2.94, 2 Th 3.12-3.17, 1 Hg 3.21
29 Er 0.8750 0.2500 0.6250  4 Hg 2.93
30 Hg 0.2250 0.6616 0.0831  2 Er 2.93-2.94, 2 Th 3.12-3.17, 1 Hg 3.21
31 Hg 0.4215 0.3581 0.5831  2 Er 2.93-2.94, 2 Th 3.12-3.17, 1 Hg 3.21
32 Hg 0.8581 0.5831 0.9215  2 Er 2.93-2.94, 2 Th 3.12-3.17, 1 Hg 3.21
33 Hg 0.7250 0.1419 0.0634  2 Er 2.93-2.94, 2 Th 3.12-3.17, 1 Hg 3.21
34 Er 0.8750 0.6250 0.7500  4 Hg 2.93
35 Hg 0.6616 0.4366 0.5785  2 Er 2.93-2.94, 2 Th 3.12-3.17, 1 Hg 3.21
36 Hg 0.3581 0.4215 0.0831  2 Er 2.93-2.94, 2 Th 3.12-3.17, 1 Hg 3.21
37 Hg 0.8384 0.9215 0.0634  2 Er 2.93-2.94, 2 Th 3.12-3.17, 1 Hg 3.21
38 Hg 0.5831 0.7250 0.6616  2 Er 2.93-2.94, 2 Th 3.12-3.17, 1 Hg 3.21
39 Hg 0.7250 0.5831 0.1616  2 Er 2.93-2.94, 2 Th 3.12-3.17, 1 Hg 3.21
40 Th 0.1250 0.8750 0.7500  8 Hg 3.12-3.17
41 Hg 0.0634 0.4215 0.8384  2 Er 2.93-2.94, 2 Th 3.12-3.17, 1 Hg 3.21
42 Hg 0.5785 0.6419 0.4169  2 Er 2.93-2.94, 2 Th 3.12-3.17, 1 Hg 3.21
43 Er 0.1250 0.3750 0.2500  4 Hg 2.93
44 Hg 0.5785 0.9366 0.6616  2 Er 2.93-2.94, 2 Th 3.12-3.17, 1 Hg 3.21
45 Th 0.8750 0.1250 0.2500  8 Hg 3.12-3.17
46 Hg 0.1616 0.0785 0.9366  2 Er 2.93-2.94, 2 Th 3.12-3.17, 1 Hg 3.21
47 Hg 0.9215 0.0831 0.8581  2 Er 2.93-2.94, 2 Th 3.12-3.17, 1 Hg 3.21
48 Hg 0.7750 0.3384 0.9169  2 Er 2.93-2.94, 2 Th 3.12-3.17, 1 Hg 3.21
49 Hg 0.6419 0.5785 0.9169  2 Er 2.93-2.94, 2 Th 3.12-3.17, 1 Hg 3.21
50 Er 0.0000 0.5000 0.5000  6 Hg 2.94
51 Hg 0.2750 0.8581 0.9366  2 Er 2.93-2.94, 2 Th 3.12-3.17, 1 Hg 3.21
52 Hg 0.0785 0.1616 0.4366  2 Er 2.93-2.94, 2 Th 3.12-3.17, 1 Hg 3.21
53 Th 0.2500 0.6250 0.8750  8 Hg 3.12-3.17
54 Hg 0.6616 0.2250 0.5831  2 Er 2.93-2.94, 2 Th 3.12-3.17, 1 Hg 3.21
55 Hg 0.4169 0.2750 0.3384  2 Er 2.93-2.94, 2 Th 3.12-3.17, 1 Hg 3.21
56 Hg 0.3384 0.7750 0.4169  2 Er 2.93-2.94, 2 Th 3.12-3.17, 1 Hg 3.21
57 Er 0.6250 0.7500 0.8750  4 Hg 2.93
58 Hg 0.7750 0.4366 0.3581  2 Er 2.93-2.94, 2 Th 3.12-3.17, 1 Hg 3.21
59 Hg 0.0831 0.9215 0.3581  2 Er 2.93-2.94, 2 Th 3.12-3.17, 1 Hg 3.21
60 Th 0.6250 0.3750 0.7500  8 Hg 3.12-3.17
61 Hg 0.2750 0.4169 0.8384  2 Er 2.93-2.94, 2 Th 3.12-3.17, 1 Hg 3.21
62 Hg 0.4215 0.0634 0.3384  2 Er 2.93-2.94, 2 Th 3.12-3.17, 1 Hg 3.21
63 Th 0.1250 0.2500 0.8750  8 Hg 3.12-3.17
64 Er 0.1250 0.7500 0.3750  4 Hg 2.93
65 Er 0.2500 0.3750 0.6250  4 Hg 2.93
66 Hg 0.5634 0.2250 0.1419  2 Er 2.93-2.94, 2 Th 3.12-3.17, 1 Hg 3.21
67 Er 0.5000 0.0000 0.0000  6 Hg 2.94
68 Hg 0.5831 0.8581 0.4215  2 Er 2.93-2.94, 2 Th 3.12-3.17, 1 Hg 3.21
69 Hg 0.4366 0.6616 0.0785  2 Er 2.93-2.94, 2 Th 3.12-3.17, 1 Hg 3.21
70 Hg 0.0634 0.6419 0.7250  2 Er 2.93-2.94, 2 Th 3.12-3.17, 1 Hg 3.21
71 Hg 0.1419 0.4169 0.0785  2 Er 2.93-2.94, 2 Th 3.12-3.17, 1 Hg 3.21
72 Hg 0.0831 0.1616 0.2250  2 Er 2.93-2.94, 2 Th 3.12-3.17, 1 Hg 3.21
73 Hg 0.8384 0.9169 0.2750  2 Er 2.93-2.94, 2 Th 3.12-3.17, 1 Hg 3.21
74 Hg 0.0785 0.9169 0.1419  2 Er 2.93-2.94, 2 Th 3.12-3.17, 1 Hg 3.21
75 Er 0.0000 0.5000 0.0000  6 Hg 2.94
76 Er 0.7500 0.6250 0.3750  4 Hg 2.93
77 Hg 0.9366 0.3581 0.2750  2 Er 2.93-2.94, 2 Th 3.12-3.17, 1 Hg 3.21
78 Th 0.3750 0.7500 0.6250  8 Hg 3.12-3.17
79 Er 0.2500 0.8750 0.1250  4 Hg 2.93
80 Er 0.7500 0.1250 0.8750  4 Hg 2.93

## ErThHg4 (PBE)

Data for an optimized crystal structure of ErThHg4.

Energy relative to the elements in meV per atom: -114
Space-group type: No. 216
DOS at the Fermi energy in states/eV/f.u.: 5.20
Distance to the lowest polymorph of the same formula in eV/f.u.: 1.144

Cell lengths 5.9762, 5.9762, 5.9762 Å; angles 60.00, 60.00, 60.00 degrees
Closest atoms and distances in Å follow each position.
Element x y z (fractional)
1 Th 0.2500 0.2500 0.2500  12 Hg 3.50, 4 Er 3.66
2 Hg 0.6252 0.6252 0.6252  6 Hg 2.98-2.99
3 Hg 0.6252 0.1245 0.6252  6 Hg 2.98-2.99
4 Hg 0.6252 0.6252 0.1245  6 Hg 2.98-2.99
5 Er 0.0000 0.0000 0.0000  12 Hg 3.50, 4 Th 3.66
6 Hg 0.1245 0.6252 0.6252  6 Hg 2.98-2.99

## ErThHg4 (PBE)

Data for an optimized crystal structure of ErThHg4.

Energy relative to the elements in meV per atom: -305
Space-group type: No. 10
DOS at the Fermi energy in states/eV/f.u.: 3.33
Distance to the lowest polymorph of the same formula in eV/f.u.: 0.000

Cell lengths 3.3998, 5.0080, 9.3376 Å; angles 90.00, 111.13, 90.00 degrees
Closest atoms and distances in Å follow each position.
Element x y z (fractional)
1 Th 0.5013 0.4973 0.9981  12 Hg 3.37-3.40, 2 Th 3.40
2 Hg 0.8286 0.9973 0.8260  3 Hg 2.89-3.00
3 Hg 0.6694 0.4973 0.6602  3 Hg 2.82-2.89
4 Hg 0.1737 0.9973 0.1703  3 Hg 2.89-3.00
5 Er 0.0013 0.9973 0.4982  12 Hg 3.32-3.35, 2 Er 3.40
6 Hg 0.3335 0.4973 0.3361  3 Hg 2.82-2.89

## Er2TiHg (PBE)

Data for an optimized crystal structure of Er2TiHg.

Energy relative to the elements in meV per atom: -127
Space-group type: No. 123
DOS at the Fermi energy in states/eV/f.u.: 4.39
Distance to the lowest polymorph of the same formula in eV/f.u.: 0.000

Cell lengths 3.4102, 3.4102, 8.3707 Å; angles 90.00, 90.00, 90.00 degrees
Closest atoms and distances in Å follow each position.
Element x y z (fractional)
1 Er 0.0000 0.0000 0.2457  4 Ti 3.17, 4 Hg 3.22, 4 Er 3.41
2 Ti 0.5000 0.5000 0.0000  8 Er 3.17, 4 Ti 3.41
3 Er 0.0000 0.0000 0.7543  4 Ti 3.17, 4 Hg 3.22, 4 Er 3.41
4 Hg 0.5000 0.5000 0.5000  8 Er 3.22, 4 Hg 3.41